[1]
# KSbP3, PBEsol geometry, DFT SCAN
data_KSbP3
_chemical_formula_sum 'K1 Sb1 P3'
_symmetry_space_group_name_H-M 'P m -3 m'
_symmetry_Int_Tables_number 221
_symmetry_space_group_name_Hall '-P 4 2 3'
_cell_length_a 5.018
_cell_length_b 5.018
_cell_length_c 5.018
_cell_angle_alpha 90.00
_cell_angle_beta 90.00
_cell_angle_gamma 90.00
loop_
_atom_site_label
_atom_site_fract_x
_atom_site_fract_y
_atom_site_fract_z
K1 0.000 0.000 0.000
Sb1 0.500 0.500 0.500
P1 0.000 0.000 0.500
# DFT total energy in eV/f.u.: -66.6
# ΔE_f (raw) in eV/atom: 2.046
# Magnetization in Bohr magnetons per cell: 0.00

***

[2]
# Y2MgGeB, PBEsol geometry, DFT SCAN
data_Y2MgGeB
_chemical_formula_sum 'Y2 Mg1 Ge1 B1'
_symmetry_space_group_name_H-M 'P 4/m m m'
_symmetry_Int_Tables_number 123
_symmetry_space_group_name_Hall '-P 4 2'
_cell_length_a 5.322
_cell_length_b 5.322
_cell_length_c 4.683
_cell_angle_alpha 90.00
_cell_angle_beta 90.00
_cell_angle_gamma 90.00
loop_
_atom_site_label
_atom_site_fract_x
_atom_site_fract_y
_atom_site_fract_z
Y1 0.000 0.500 0.000
Mg1 0.000 0.000 0.500
Ge1 0.000 0.000 0.000
B1 0.500 0.500 0.500
# DFT total energy in eV/f.u.: -84.2
# Formation energy in eV per atom: 0.589
# Magnetization in Bohr magnetons per cell: 0.00

***

[3]
# Ba2MnBr, PBEsol geometry, DFT SCAN
data_Ba2MnBr
_chemical_formula_sum 'Ba2 Mn1 Br1'
_symmetry_space_group_name_H-M 'P m m m'
_symmetry_Int_Tables_number 47
_cell_length_a 3.738
_cell_length_b 5.864
_cell_length_c 5.878
_cell_angle_alpha 90.00
_cell_angle_beta 90.00
_cell_angle_gamma 90.00
loop_
_symmetry_equiv_pos_as_xyz
'x,y,z'
'-x,-y,-z'
'-x,-y,z'
'x,y,-z'
'x,-y,-z'
'-x,y,z'
'-x,y,-z'
'x,-y,z'
loop_
_atom_site_label
_atom_site_fract_x
_atom_site_fract_y
_atom_site_fract_z
Ba1 0.000 0.000 0.000
Ba2 0.000 0.500 0.500
Mn1 0.500 0.000 0.500
Br1 0.500 0.500 0.000
# DFT total energy in eV/f.u.: -119.1
# ΔE_f (raw) in eV/atom: -0.572
# Magnetization in Bohr magnetons per cell: 3.99

***

- Look up the magnetization of the third one.
  3.99 Bohr magnetons per cell

***

- Among the records above, which one has the lowest DFT total energy?
  Ba2MnBr

***

- What is the magnetization in the third record?
  3.99 Bohr magnetons per cell

***

Repeat the second record exactly.
# Y2MgGeB, PBEsol geometry, DFT SCAN
data_Y2MgGeB
_chemical_formula_sum 'Y2 Mg1 Ge1 B1'
_symmetry_space_group_name_H-M 'P 4/m m m'
_symmetry_Int_Tables_number 123
_symmetry_space_group_name_Hall '-P 4 2'
_cell_length_a 5.322
_cell_length_b 5.322
_cell_length_c 4.683
_cell_angle_alpha 90.00
_cell_angle_beta 90.00
_cell_angle_gamma 90.00
loop_
_atom_site_label
_atom_site_fract_x
_atom_site_fract_y
_atom_site_fract_z
Y1 0.000 0.500 0.000
Mg1 0.000 0.000 0.500
Ge1 0.000 0.000 0.000
B1 0.500 0.500 0.500
# DFT total energy in eV/f.u.: -84.2
# Formation energy in eV per atom: 0.589
# Magnetization in Bohr magnetons per cell: 0.00